1.
# RbBi4Au4 (GGA-PBE, relaxed)
# total DFT energy (no corrections): -3.520 eV per atom
data_RbBi4Au4
_symmetry_space_group_name_H-M 'P 42/n m c'
_symmetry_Int_Tables_number 137
_cell_length_a 7.273
_cell_length_b 7.273
_cell_length_c 9.928
_cell_angle_alpha 90.00
_cell_angle_beta 90.00
_cell_angle_gamma 90.00
loop_
_symmetry_equiv_pos_as_xyz
'x,y,z'
'-x,-y,-z'
'-y+1/2,x,z+1/2'
'y+1/2,-x,-z+1/2'
'-x+1/2,-y+1/2,z'
'x+1/2,y+1/2,-z'
'y,-x+1/2,z+1/2'
'-y,x+1/2,-z+1/2'
'x+1/2,-y,-z'
'-x+1/2,y,z'
'-y,-x,-z+1/2'
'y,x,z+1/2'
'-x,y+1/2,-z'
'x,-y+1/2,z'
'y+1/2,x+1/2,-z+1/2'
'-y+1/2,-x+1/2,z+1/2'
loop_
_atom_site_label
_atom_site_fract_x
_atom_site_fract_y
_atom_site_fract_z
Rb1 0.250 0.750 0.250
Bi1 0.007 0.250 0.111
Au1 0.057 0.250 0.404

---

2.
# Pr2Sc2GeAs (GGA-PBE, relaxed)
# total DFT energy (no corrections): -6.113 eV per atom
data_Pr2Sc2GeAs
_symmetry_space_group_name_H-M 'I 4 m m'
_symmetry_Int_Tables_number 107
_symmetry_space_group_name_Hall 'I 4 -2'
_cell_length_a 4.326
_cell_length_b 4.326
_cell_length_c 15.936
_cell_angle_alpha 90.00
_cell_angle_beta 90.00
_cell_angle_gamma 90.00
loop_
_atom_site_label
_atom_site_fract_x
_atom_site_fract_y
_atom_site_fract_z
Pr1 0.000 0.000 0.000
Pr2 0.000 0.000 0.352
Sc1 0.000 0.500 0.175
Ge1 0.000 0.000 0.555
As1 0.000 0.000 0.799

---

3.
# CuAg4 (GGA-PBE, relaxed)
# total DFT energy (no corrections): -2.945 eV per atom
# ΔE_f: 0.058 eV per atom
data_CuAg4
_symmetry_space_group_name_H-M 'C m c m'
_symmetry_Int_Tables_number 63
_symmetry_space_group_name_Hall '-C 2c 2'
_cell_length_a 4.085
_cell_length_b 20.218
_cell_length_c 4.079
_cell_angle_alpha 90.00
_cell_angle_beta 90.00
_cell_angle_gamma 90.00
loop_
_atom_site_label
_atom_site_fract_x
_atom_site_fract_y
_atom_site_fract_z
Cu1 0.000 0.151 0.250
Ag1 0.000 0.053 0.750
Ag2 0.000 0.250 0.750
Ag3 0.000 0.348 0.250
Ag4 0.000 0.447 0.750

---

| no. | V (Å³ per cell) |
| --- | --- |
| 1 | 525.2 |
| 2 | 298.2 |
| 3 | 336.9 |